PdPbCl4 (PBE, relaxed); electronic total energy = -3.49 eV per atom
1.0
-3.4882 3.4882 6.3309
3.4882 -3.4882 6.3309
3.4882 3.4882 -6.3309
Pd Pb Cl
2 2 8
Direct
0.0000 0.5000 0.5000
0.5000 0.0000 0.5000
0.2500 0.2500 0.0000
0.7500 0.7500 0.0000
0.0424 0.5424 0.8400
0.2024 0.0424 0.5000
0.2976 0.7976 0.8400
0.4576 0.2976 0.5000
0.5424 0.7024 0.5000
0.7024 0.2024 0.1600
0.7976 0.9576 0.5000
0.9576 0.4576 0.1600



PmPbCl4 (PBE, relaxed); electronic total energy = -4.24 eV per atom
1.0
4.9974 -5.1914 0.0000
4.9974 5.1914 0.0000
0.0000 0.0000 3.7797
Pm Pb Cl
1 1 4
Direct
0.0000 0.0000 0.0000
0.5000 0.5000 0.5000
0.2018 0.2018 0.5000
0.2591 0.7409 0.0000
0.7409 0.2591 0.0000
0.7982 0.7982 0.5000



PtPbCl6 (PBE, relaxed); electronic total energy = -3.27 eV per atom
1.0
3.2004 1.8477 5.9316
-3.2004 1.8477 5.9316
0.0000 -3.6955 5.9316
Pt Pb Cl
1 1 6
Direct
0.0000 0.0000 0.0000
0.5000 0.5000 0.5000
0.0338 0.3943 0.7988
0.2012 0.9662 0.6057
0.3943 0.7988 0.0338
0.6057 0.2012 0.9662
0.7988 0.0338 0.3943
0.9662 0.6057 0.2012



PuPbCl6 (PBE, relaxed); electronic total energy = -5.11 eV per atom
1.0
3.3811 1.9521 6.2593
-3.3811 1.9521 6.2593
0.0000 -3.9042 6.2593
Pu Pb Cl
1 1 6
Direct
0.0000 0.0000 0.0000
0.5000 0.5000 0.5000
0.0691 0.3993 0.7706
0.2294 0.9309 0.6007
0.3993 0.7706 0.0691
0.6007 0.2294 0.9309
0.7706 0.0691 0.3993
0.9309 0.6007 0.2294



PdCl2 (PBE, relaxed); electronic total energy = -3.14 eV per atom
1.0
0.0000 5.3747 5.3747
5.3747 0.0000 5.3747
5.3747 5.3747 0.0000
Pd Cl
2 4
Direct
0.1250 0.1250 0.1250
0.8750 0.8750 0.8750
0.0000 0.0000 0.0000
0.0000 0.0000 0.5000
0.0000 0.5000 0.0000
0.5000 0.0000 0.0000



PdCl4 (PBE, relaxed); electronic total energy = -2.74 eV per atom
1.0
3.9419 -4.1914 0.0000
3.9419 4.1914 0.0000
0.0000 0.0000 3.5480
Pd Cl
1 4
Direct
0.0000 0.0000 0.0000
0.1904 0.8096 0.5000
0.2959 0.2959 0.0000
0.7041 0.7041 0.0000
0.8096 0.1904 0.5000



PdCl2 (PBE, relaxed); electronic total energy = -2.95 eV per atom
1.0
1.7256 0.9963 6.3658
-1.7256 0.9963 6.3658
0.0000 -1.9926 6.3658
Pd Cl
1 2
Direct
0.0000 0.0000 0.0000
0.2500 0.2500 0.2500
0.4169 0.4169 0.4169



PdCl2 (PBE, relaxed); electronic total energy = -2.00 eV per atom
1.0
0.0000 3.9608 3.9608
3.9608 0.0000 3.9608
3.9608 3.9608 0.0000
Pd Cl
2 4
Direct
0.1250 0.1250 0.1250
0.8750 0.8750 0.8750
0.0000 0.5000 0.5000
0.5000 0.0000 0.5000
0.5000 0.5000 0.0000
0.5000 0.5000 0.5000



PdCl4 (PBE, relaxed); electronic total energy = -2.74 eV per atom
1.0
5.5867 0.0000 0.0000
0.0000 3.4660 0.0000
-0.4815 0.0000 6.0208
Pd Cl
1 4
Direct
0.0000 0.0000 0.0000
0.2164 0.5000 0.8355
0.2815 0.0000 0.3074
0.7185 0.0000 0.6926
0.7836 0.5000 0.1645



PdCl2 (PBE, relaxed); electronic total energy = -3.37 eV per atom
1.0
6.3777 0.0000 0.0000
0.0000 6.3777 0.0000
0.0000 0.0000 3.5150
Pd Cl
2 4
Direct
0.0000 0.0000 0.0000
0.5000 0.5000 0.5000
0.1747 0.1747 0.5000
0.3253 0.6747 0.0000
0.6747 0.3253 0.0000
0.8253 0.8253 0.5000



PdCl (PBE, relaxed); electronic total energy = -3.37 eV per atom
1.0
3.3926 0.0000 0.0000
-1.6963 2.9381 0.0000
0.0000 0.0000 3.6202
Pd Cl
1 1
Direct
0.0000 0.0000 0.0000
0.3333 0.6667 0.5000



PdCl2 (PBE, relaxed); electronic total energy = -3.39 eV per atom
1.0
3.7112 -1.7018 0.0000
3.7112 1.7018 0.0000
-1.0046 0.0000 6.2551
Pd Cl
1 2
Direct
0.0000 0.0000 0.0000
0.4109 0.4109 0.7545
0.5891 0.5891 0.2455



PdCl4 (PBE, relaxed); electronic total energy = -2.81 eV per atom
1.0
3.2062 -6.9397 0.0000
3.2062 6.9397 0.0000
-0.8525 0.0000 6.0319
Pd Cl
2 8
Direct
0.0627 0.9373 0.7500
0.9373 0.0627 0.2500
0.0358 0.3969 0.1369
0.1483 0.2716 0.5985
0.2716 0.1483 0.0985
0.3969 0.0358 0.6369
0.6031 0.9642 0.3631
0.7284 0.8517 0.9015
0.8517 0.7284 0.4015
0.9642 0.6031 0.8631



PdCl2 (PBE, relaxed); electronic total energy = -3.43 eV per atom
1.0
6.7036 3.8703 3.0196
-6.7036 3.8703 3.0196
0.0000 -7.7406 3.0196
Pd Cl
6 12
Direct
0.1835 0.4315 0.4315
0.4315 0.1835 0.4315
0.4315 0.4315 0.1835
0.5685 0.5685 0.8165
0.5685 0.8165 0.5685
0.8165 0.5685 0.5685
0.1193 0.1193 0.3655
0.1193 0.3655 0.1193
0.2542 0.5000 0.7458
0.2542 0.7458 0.5000
0.3655 0.1193 0.1193
0.5000 0.2542 0.7458
0.5000 0.7458 0.2542
0.6345 0.8807 0.8807
0.7458 0.2542 0.5000
0.7458 0.5000 0.2542
0.8807 0.6345 0.8807
0.8807 0.8807 0.6345



Pd2Cl (PBE, relaxed); electronic total energy = -3.62 eV per atom
1.0
0.0000 3.7963 3.7963
3.7963 0.0000 3.7963
3.7963 3.7963 0.0000
Pd Cl
4 2
Direct
0.0000 0.0000 0.0000
0.0000 0.0000 0.5000
0.0000 0.5000 0.0000
0.5000 0.0000 0.0000
0.3750 0.3750 0.3750
0.6250 0.6250 0.6250



PdCl (PBE, relaxed); electronic total energy = -3.42 eV per atom
1.0
0.0000 2.8375 2.8375
2.8375 0.0000 2.8375
2.8375 2.8375 0.0000
Pd Cl
1 1
Direct
0.0000 0.0000 0.0000
0.2500 0.2500 0.2500



PdCl2 (PBE, relaxed); electronic total energy = -3.38 eV per atom
1.0
3.4086 0.0000 0.0000
0.0000 6.9837 0.0000
0.0000 0.0000 12.6441
Pd Cl
4 8
Direct
0.0000 0.0580 0.0000
0.0000 0.4405 0.4934
0.5000 0.5595 0.9934
0.5000 0.9420 0.5000
0.0000 0.5511 0.1187
0.0000 0.5694 0.8677
0.0000 0.9312 0.3745
0.0000 0.9502 0.6255
0.5000 0.0498 0.1255
0.5000 0.0688 0.8745
0.5000 0.4306 0.3677
0.5000 0.4489 0.6187



PdCl2 (PBE, relaxed); electronic total energy = -3.26 eV per atom
1.0
6.1689 0.0000 0.0000
0.0000 6.1689 0.0000
0.0000 0.0000 6.1689
Pd Cl
4 8
Direct
0.0000 0.0000 0.0000
0.0000 0.5000 0.5000
0.5000 0.0000 0.5000
0.5000 0.5000 0.0000
0.1544 0.6544 0.8456
0.1544 0.8456 0.3456
0.3456 0.1544 0.8456
0.3456 0.3456 0.3456
0.6544 0.6544 0.6544
0.6544 0.8456 0.1544
0.8456 0.1544 0.6544
0.8456 0.3456 0.1544



PdCl2 (PBE, relaxed); electronic total energy = -3.16 eV per atom
1.0
1.8195 1.0505 5.6937
-1.8195 1.0505 5.6937
0.0000 -2.1010 5.6937
Pd Cl
1 2
Direct
0.0000 0.0000 0.0000
0.2515 0.2515 0.2515
0.7485 0.7485 0.7485



PdCl (PBE, relaxed); electronic total energy = -3.49 eV per atom
1.0
0.0000 2.6362 2.6362
2.6362 0.0000 2.6362
2.6362 2.6362 0.0000
Pd Cl
1 1
Direct
0.0000 0.0000 0.0000
0.5000 0.5000 0.5000